<one>
Entry from Alexandria via LeMat-Bulk: an optimized crystal structure of ScBeCu (PBE).

a b c (Å): 4.261 4.261 4.261
angles (deg): 60.00 60.00 60.00
Atoms (fractional coordinates):
1 Sc 0.000 0.000 0.000
2 Be 0.250 0.250 0.250
3 Cu 0.750 0.750 0.750

Output
spin magnetization	0.00	Bohr magnetons per cell
calculated volume	18.2	Å³ per atom

***

<two>
Entry from Alexandria via LeMat-Bulk: an optimized crystal structure of ScBeCu (PBE).

a b c (Å): 4.138 4.138 4.138
angles (deg): 60.00 60.00 60.00
Atoms (fractional coordinates):
1 Sc 0.000 0.000 0.000
2 Be 0.500 0.500 0.500
3 Cu 0.250 0.250 0.250

Output
spin magnetization	0.00	Bohr magnetons per cell
calculated volume	16.7	Å³ per atom

***

<three>
Entry from Alexandria via LeMat-Bulk: an optimized crystal structure of ScBeCu (PBE).

a b c (Å): 5.054 5.054 6.460
angles (deg): 129.69 129.69 46.90
Atoms (fractional coordinates):
1 Sc 0.058 0.058 0.303
2 Sc 0.942 0.942 0.697
3 Be 0.345 0.345 0.287
4 Be 0.655 0.655 0.713
5 Cu 0.322 0.322 0.897
6 Cu 0.678 0.678 0.103

Output
spin magnetization	0.00	Bohr magnetons per cell
calculated volume	14.4	Å³ per atom

***

<four>
Entry from Alexandria via LeMat-Bulk: an optimized crystal structure of ScBeCu (PBE).

a b c (Å): 5.171 5.171 5.171
angles (deg): 146.11 146.11 48.69
Atoms (fractional coordinates):
1 Sc 0.000 0.000 0.000
2 Be 0.694 0.694 0.000
3 Cu 0.299 0.299 0.000

Output
spin magnetization	0.00	Bohr magnetons per cell
calculated volume	14.3	Å³ per atom

***

On energetic grounds, <three> is preferred over the next structure by 0.102 eV/atom.

***

<one>
Entry from Alexandria via LeMat-Bulk: an optimized crystal structure of Sc2Be2Cu (PBE).

a b c (Å): 6.317 6.317 3.846
angles (deg): 90.00 90.00 90.00
Atoms (fractional coordinates):
1 Sc 0.174 0.326 0.000
2 Sc 0.326 0.826 0.000
3 Sc 0.674 0.174 0.000
4 Sc 0.826 0.674 0.000
5 Be 0.122 0.622 0.500
6 Be 0.378 0.122 0.500
7 Be 0.622 0.878 0.500
8 Be 0.878 0.378 0.500
9 Cu 0.000 0.000 0.500
10 Cu 0.500 0.500 0.500

Output
spin magnetization	0.00	Bohr magnetons per cell
calculated volume	15.3	Å³ per atom

***

<two>
Entry from Alexandria via LeMat-Bulk: an optimized crystal structure of Sc2Be2Cu (PBE).

a b c (Å): 4.767 4.767 4.767
angles (deg): 116.58 116.58 96.03
Atoms (fractional coordinates):
1 Sc 0.250 0.750 0.500
2 Sc 0.750 0.250 0.500
3 Be 0.150 0.150 0.000
4 Be 0.850 0.850 0.000
5 Cu 0.500 0.500 0.000

Output
spin magnetization	0.00	Bohr magnetons per cell
calculated volume	16.0	Å³ per atom

***

On energetic grounds, <one> is preferred over the next structure by 0.241 eV/atom.

***

<one>
Entry from Alexandria via LeMat-Bulk: an optimized crystal structure of ScBe2Cu (PBE).

a b c (Å): 3.748 3.748 4.928
angles (deg): 112.25 112.25 59.96
Atoms (fractional coordinates):
1 Sc 0.000 0.000 0.000
2 Be 0.199 0.199 0.596
3 Be 0.801 0.801 0.404
4 Cu 0.500 0.500 0.500

Output
spin magnetization	0.00	Bohr magnetons per cell
calculated volume	13.5	Å³ per atom

***

<two>
Entry from Alexandria via LeMat-Bulk: an optimized crystal structure of ScBe2Cu (PBE).

a b c (Å): 3.761 3.761 3.812
angles (deg): 90.00 90.00 90.00
Atoms (fractional coordinates):
1 Sc 0.000 0.000 0.000
2 Be 0.000 0.500 0.500
3 Be 0.500 0.000 0.500
4 Cu 0.500 0.500 0.000

Output
spin magnetization	0.00	Bohr magnetons per cell
calculated volume	13.5	Å³ per atom

***

On energetic grounds, <one> is preferred over the next structure by 0.269 eV/atom.

***

<one>
Entry from Alexandria via LeMat-Bulk: an optimized crystal structure of ScBeCu3 (PBE).

a b c (Å): 4.123 4.123 4.123
angles (deg): 90.00 90.00 90.00
Atoms (fractional coordinates):
1 Sc 0.000 0.000 0.000
2 Be 0.500 0.500 0.500
3 Cu 0.000 0.500 0.500
4 Cu 0.500 0.000 0.500
5 Cu 0.500 0.500 0.000

Output
spin magnetization	0.00	Bohr magnetons per cell
calculated volume	14.0	Å³ per atom

***

<two>
Entry from Alexandria via LeMat-Bulk: an optimized crystal structure of ScBeCu3 (PBE).

a b c (Å): 4.728 4.728 4.728
angles (deg): 90.00 90.00 90.00
Atoms (fractional coordinates):
1 Sc 0.000 0.000 0.000
2 Be 0.500 0.500 0.500
3 Cu 0.000 0.000 0.500
4 Cu 0.000 0.500 0.000
5 Cu 0.500 0.000 0.000

Output
spin magnetization	0.00	Bohr magnetons per cell
calculated volume	21.1	Å³ per atom

***

<three>
Entry from Alexandria via LeMat-Bulk: an optimized crystal structure of ScBeCu3 (PBE).

a b c (Å): 5.773 5.773 4.680
angles (deg): 90.00 90.00 120.00
Atoms (fractional coordinates):
1 Sc 0.333 0.667 0.250
2 Sc 0.667 0.333 0.750
3 Be 0.000 0.000 0.000
4 Be 0.000 0.000 0.500
5 Cu 0.188 0.375 0.750
6 Cu 0.188 0.812 0.750
7 Cu 0.375 0.188 0.250
8 Cu 0.625 0.812 0.750
9 Cu 0.812 0.188 0.250
10 Cu 0.812 0.625 0.250

Output
spin magnetization	0.00	Bohr magnetons per cell
calculated volume	13.5	Å³ per atom

***

On energetic grounds, <three> is preferred over the next structure by 0.137 eV/atom.

***

<one>
Entry from Alexandria via LeMat-Bulk: an optimized crystal structure of BeCuSe3 (PBE).

a b c (Å): 4.758 4.758 4.758
angles (deg): 90.00 90.00 90.00
Atoms (fractional coordinates):
1 Be 0.000 0.000 0.000
2 Cu 0.500 0.500 0.500
3 Se 0.000 0.500 0.500
4 Se 0.500 0.000 0.500
5 Se 0.500 0.500 0.000

Output
spin magnetization	0.00	Bohr magnetons per cell
calculated volume	21.5	Å³ per atom

***

<two>
Entry from Alexandria via LeMat-Bulk: an optimized crystal structure of BeCuSe3 (PBE).

a b c (Å): 4.578 4.578 4.578
angles (deg): 90.00 90.00 90.00
Atoms (fractional coordinates):
1 Be 0.000 0.000 0.000
2 Cu 0.500 0.500 0.500
3 Se 0.000 0.000 0.500
4 Se 0.000 0.500 0.000
5 Se 0.500 0.000 0.000

Output
spin magnetization	0.00	Bohr magnetons per cell
calculated volume	19.2	Å³ per atom

***

On energetic grounds, <two> is preferred over the next structure by 0.336 eV/atom.

***

<one>
Entry from Alexandria via LeMat-Bulk: an optimized crystal structure of BeCuSi3 (PBE).

a b c (Å): 4.242 4.242 4.242
angles (deg): 90.00 90.00 90.00
Atoms (fractional coordinates):
1 Be 0.000 0.000 0.000
2 Cu 0.500 0.500 0.500
3 Si 0.000 0.000 0.500
4 Si 0.000 0.500 0.000
5 Si 0.500 0.000 0.000

Output
spin magnetization	0.00	Bohr magnetons per cell
calculated volume	15.3	Å³ per atom

***

<two>
Entry from Alexandria via LeMat-Bulk: an optimized crystal structure of BeCuSi3 (PBE).

a b c (Å): 4.473 4.473 4.473
angles (deg): 90.00 90.00 90.00
Atoms (fractional coordinates):
1 Be 0.000 0.000 0.000
2 Cu 0.500 0.500 0.500
3 Si 0.000 0.500 0.500
4 Si 0.500 0.000 0.500
5 Si 0.500 0.500 0.000

Output
spin magnetization	0.00	Bohr magnetons per cell
calculated volume	17.9	Å³ per atom

***

On energetic grounds, <one> is preferred over the next structure by 0.294 eV/atom.

***

<one>
Entry from Alexandria via LeMat-Bulk: an optimized crystal structure of BeCu3Si (PBE).

a b c (Å): 4.043 4.043 4.043
angles (deg): 90.00 90.00 90.00
Atoms (fractional coordinates):
1 Be 0.000 0.000 0.000
2 Cu 0.000 0.000 0.500
3 Cu 0.000 0.500 0.000
4 Cu 0.500 0.000 0.000
5 Si 0.500 0.500 0.500

Output
spin magnetization	0.00	Bohr magnetons per cell
calculated volume	13.2	Å³ per atom

***

<two>
Entry from Alexandria via LeMat-Bulk: an optimized crystal structure of BeCu3Si (PBE).

a b c (Å): 4.883 4.883 6.290
angles (deg): 99.12 99.12 125.60
Atoms (fractional coordinates):
1 Be 0.092 0.908 0.500
2 Be 0.908 0.092 0.000
3 Cu 0.292 0.442 0.802
4 Cu 0.350 0.995 0.888
5 Cu 0.442 0.292 0.302
6 Cu 0.646 0.891 0.605
7 Cu 0.891 0.646 0.105
8 Cu 0.995 0.350 0.388
9 Si 0.449 0.752 0.195
10 Si 0.752 0.449 0.695

Output
spin magnetization	0.00	Bohr magnetons per cell
calculated volume	11.4	Å³ per atom

***

On energetic grounds, <two> is preferred over the next structure by 0.512 eV/atom.

***

<one>
Entry from Alexandria via LeMat-Bulk: an optimized crystal structure of BeCu4Si (PBE).

a b c (Å): 4.727 4.727 4.727
angles (deg): 60.00 60.00 60.00
Atoms (fractional coordinates):
1 Be 0.000 0.000 0.000
2 Cu 0.124 0.625 0.625
3 Cu 0.625 0.124 0.625
4 Cu 0.625 0.625 0.124
5 Cu 0.625 0.625 0.625
6 Si 0.250 0.250 0.250

Output
spin magnetization	0.00	Bohr magnetons per cell
calculated volume	12.5	Å³ per atom

***

<two>
Entry from Alexandria via LeMat-Bulk: an optimized crystal structure of BeCu4Si (PBE).

a b c (Å): 6.946 6.946 4.363
angles (deg): 90.00 90.00 138.16
Atoms (fractional coordinates):
1 Be 0.000 0.000 0.250
2 Be 0.000 0.000 0.750
3 Cu 0.017 0.319 0.500
4 Cu 0.278 0.421 0.000
5 Cu 0.319 0.017 0.000
6 Cu 0.421 0.278 0.500
7 Cu 0.579 0.722 0.500
8 Cu 0.681 0.983 0.000
9 Cu 0.722 0.579 0.000
10 Cu 0.983 0.681 0.500
11 Si 0.000 0.500 0.000
12 Si 0.500 0.000 0.500

Output
spin magnetization	0.00	Bohr magnetons per cell
calculated volume	11.7	Å³ per atom

***

On energetic grounds, <two> is preferred over the next structure by 0.238 eV/atom.